No. 1
Computed, not measured: an optimized crystal structure of HoLuGaCu at the GGA-PBE level of DFT.

- ΔH_f (0 K): -0.44 eV per atom

```
data_HoLuGaCu
_chemical_formula_sum 'Ho4 Lu4 Ga4 Cu4'
_cell_length_a 6.975
_cell_length_b 6.975
_cell_length_c 6.975
_cell_angle_alpha 90.00
_cell_angle_beta 90.00
_cell_angle_gamma 90.00
_space_group_name_H-M_alt 'F -4 3 m'
_space_group_IT_number 216
_space_group_name_Hall 'F -4 2 3'
loop_
_atom_site_label
_atom_site_fract_x
_atom_site_fract_y
_atom_site_fract_z
Ho1 0.000 0.000 0.000
Lu1 0.000 0.000 0.500
Ga1 0.250 0.250 0.250
Cu1 0.250 0.250 0.750
```


No. 2
Computed, not measured: an optimized crystal structure of Mg5Hg4Pd at the GGA-PBE level of DFT.

- ΔH_f (0 K): -0.33 eV per atom

```
data_Mg5Hg4Pd
_chemical_formula_sum 'Mg5 Hg4 Pd1'
_cell_length_a 3.343
_cell_length_b 3.343
_cell_length_c 17.995
_cell_angle_alpha 90.00
_cell_angle_beta 90.00
_cell_angle_gamma 90.00
_space_group_name_H-M_alt 'P 4/m m m'
_space_group_IT_number 123
_space_group_name_Hall '-P 4 2'
loop_
_atom_site_label
_atom_site_fract_x
_atom_site_fract_y
_atom_site_fract_z
Mg1 0.000 0.000 0.000
Mg2 0.000 0.000 0.211
Mg3 0.000 0.000 0.418
Hg1 0.500 0.500 0.105
Hg2 0.500 0.500 0.316
Pd1 0.500 0.500 0.500
```


No. 3
Computed, not measured: an optimized crystal structure of Pm2Si2Ag at the GGA-PBE level of DFT.

- Excess energy over the best structure of this formula in the dataset: 0.0 kJ/mol of atoms
- ΔE_f (raw): -0.62 eV/atom

```
data_Pm2Si2Ag
_chemical_formula_sum 'Pm8 Si8 Ag4'
_cell_length_a 10.979
_cell_length_b 4.387
_cell_length_c 10.486
_cell_angle_alpha 90.00
_cell_angle_beta 118.10
_cell_angle_gamma 90.00
_space_group_name_H-M_alt 'C 1 2/m 1'
_space_group_IT_number 12
loop_
_space_group_symop_operation_xyz
'x,y,z'
'-x,-y,-z'
'-x,y,-z'
'x,-y,z'
'x+1/2,y+1/2,z'
'-x+1/2,-y+1/2,-z'
'-x+1/2,y+1/2,-z'
'x+1/2,-y+1/2,z'
loop_
_atom_site_label
_atom_site_fract_x
_atom_site_fract_y
_atom_site_fract_z
Pm1 0.003 0.000 0.322
Pm2 0.189 0.000 0.102
Si1 0.018 0.500 0.892
Si2 0.126 0.500 0.567
Ag1 0.225 0.500 0.361
```


No. 4
Computed, not measured: an optimized crystal structure of UAlCo at the GGA-PBE level of DFT.

- ΔH_f (0 K): -0.31 eV per atom

```
data_UAlCo
_chemical_formula_sum 'U3 Al3 Co3'
_cell_length_a 6.5576
_cell_length_b 6.5576
_cell_length_c 4.0119
_cell_angle_alpha 90.00
_cell_angle_beta 90.00
_cell_angle_gamma 120.00
_space_group_name_H-M_alt 'P -6 2 m'
_space_group_IT_number 189
_space_group_name_Hall 'P -6 -2'
loop_
_atom_site_label
_atom_site_fract_x
_atom_site_fract_y
_atom_site_fract_z
U1 0.0000 0.5753 0.0000
Al1 0.0000 0.2354 0.5000
Co1 0.0000 0.0000 0.0000
Co2 0.3333 0.6667 0.5000
```


No. 5
Computed, not measured: an optimized crystal structure of AlSi4W at the GGA-PBE level of DFT.

- ΔE_f (raw): 0.45 eV/atom

```
data_AlSi4W
_chemical_formula_sum 'Al4 Si16 W4'
_cell_length_a 6.947
_cell_length_b 6.947
_cell_length_c 6.947
_cell_angle_alpha 90.00
_cell_angle_beta 90.00
_cell_angle_gamma 90.00
_space_group_name_H-M_alt 'F -4 3 m'
_space_group_IT_number 216
_space_group_name_Hall 'F -4 2 3'
loop_
_atom_site_label
_atom_site_fract_x
_atom_site_fract_y
_atom_site_fract_z
Al1 0.000 0.000 0.000
Si1 0.125 0.125 0.375
W1 0.250 0.250 0.750
```


No. 6
Computed, not measured: an optimized crystal structure of AcTb5Pm2Dy at the GGA-PBE level of DFT.

- ΔH_f (0 K): 0.26 eV per atom

```
data_AcTb5Pm2Dy
_chemical_formula_sum 'Ac4 Tb20 Pm8 Dy4'
_cell_length_a 8.885
_cell_length_b 8.885
_cell_length_c 15.581
_cell_angle_alpha 90.00
_cell_angle_beta 90.00
_cell_angle_gamma 90.00
_space_group_name_H-M_alt 'I 4/m c m'
_space_group_IT_number 140
_space_group_name_Hall '-I 4 2c'
loop_
_atom_site_label
_atom_site_fract_x
_atom_site_fract_y
_atom_site_fract_z
Ac1 0.000 0.000 0.250
Tb1 0.000 0.000 0.000
Tb2 0.206 0.294 0.132
Pm1 0.116 0.384 0.500
Dy1 0.000 0.500 0.250
```


No. 7
Computed, not measured: an optimized crystal structure of Sb2PtPb at the GGA-PBE level of DFT.

- ΔE_f (raw): -0.06 eV/atom

```
data_Sb2PtPb
_chemical_formula_sum 'Sb2 Pt1 Pb1'
_cell_length_a 3.312
_cell_length_b 3.312
_cell_length_c 9.198
_cell_angle_alpha 90.00
_cell_angle_beta 90.00
_cell_angle_gamma 90.00
_space_group_name_H-M_alt 'P 4/m m m'
_space_group_IT_number 123
_space_group_name_Hall '-P 4 2'
loop_
_atom_site_label
_atom_site_fract_x
_atom_site_fract_y
_atom_site_fract_z
Sb1 0.000 0.000 0.191
Pt1 0.500 0.500 0.000
Pb1 0.500 0.500 0.500
```


No. 8
Computed, not measured: an optimized crystal structure of Cs5Ag at the GGA-PBE level of DFT.

- ΔH_f (0 K): 0.03 eV per atom

```
data_Cs5Ag
_chemical_formula_sum 'Cs10 Ag2'
_cell_length_a 14.707
_cell_length_b 5.684
_cell_length_c 12.517
_cell_angle_alpha 90.00
_cell_angle_beta 90.00
_cell_angle_gamma 90.00
_space_group_name_H-M_alt 'P m m a'
_space_group_IT_number 51
loop_
_space_group_symop_operation_xyz
'x,y,z'
'-x,-y,-z'
'-x+1/2,-y,z'
'x+1/2,y,-z'
'x+1/2,-y,-z'
'-x+1/2,y,z'
'-x,y,-z'
'x,-y,z'
loop_
_atom_site_label
_atom_site_fract_x
_atom_site_fract_y
_atom_site_fract_z
Cs1 0.000 0.000 0.000
Cs2 0.086 0.500 0.309
Cs3 0.250 0.000 0.603
Cs4 0.250 0.500 0.960
Ag1 0.250 0.000 0.177
```